(i)
CaAg2Ru | PBE | relaxed

Output
Space-group type: P4/mmm, No. 123

Cell lengths 3.5071, 3.5071, 6.4380 Å; angles 90.00, 90.00, 89.99 degrees
Each line ends with the local moment (μB).
Atoms (fractional coordinates):
Ru 0.5000 0.5000 0.7500  0.83
Ca 0.5000 0.5000 0.2500  -0.01
Ag 0.0000 0.0000 0.9640  0.02
Ag 0.0000 0.0000 0.5360  0.02

(ii)
CaAg2Ru | PBE | relaxed

Output
Space-group type: R-3m, No. 166

Cell lengths 9.9161, 9.9161, 9.9161 Å; angles 17.41, 17.41, 17.41 degrees
Each line ends with the local moment (μB).
Atoms (fractional coordinates):
Ru 0.7500 0.7500 0.7500  0.93
Ca 0.2500 0.2500 0.2500  0.02
Ag 0.0055 0.0055 0.0055  0.02
Ag 0.4945 0.4945 0.4945  0.02

Stability verdict: (i), ahead by 261 meV/atom

(i)
Ca4AgRu | PBE | relaxed

Output
Space-group type: C2/c, No. 15

Cell lengths 6.4571, 8.2935, 8.2935 Å; angles 111.56, 106.89, 106.89 degrees
Atoms (fractional coordinates):
Ca 0.7928 0.6526 0.7769
Ca 0.0856 0.9463 0.2839
Ca 0.7072 0.2231 0.3474
Ca 0.4144 0.7161 0.0537
Ca 0.5856 0.2839 0.9463
Ca 0.2928 0.7769 0.6526
Ca 0.9144 0.0537 0.7161
Ca 0.2072 0.3474 0.2231
Ag 0.7500 0.6365 0.3635
Ag 0.2500 0.3635 0.6365
Ru 0.2500 0.9983 0.0017
Ru 0.7500 0.0017 0.9983

(ii)
Ca4AgRu | PBE | relaxed

Output
Space-group type: F-43m, No. 216

Cell lengths 6.1679, 6.1679, 6.1679 Å; angles 60.00, 60.00, 60.00 degrees
Atoms (fractional coordinates):
Ca 0.3759 0.8724 0.3759
Ca 0.8724 0.3759 0.3759
Ca 0.3759 0.3759 0.8724
Ca 0.3759 0.3759 0.3759
Ag 0.0000 0.0000 0.0000
Ru 0.7500 0.7500 0.7500

Stability verdict: (i), ahead by 920 meV/atom

(i)
Ca2AgRu2 | PBE | relaxed

Output
Space-group type: P4/mbm, No. 127

Cell lengths 8.6517, 8.6517, 2.9855 Å; angles 90.00, 90.00, 90.00 degrees
Each line ends with the local moment (μB).
Atoms (fractional coordinates):
Ru 0.0937 0.5937 0.5000  0.60
Ru 0.5937 0.9063 0.5000  0.54
Ru 0.9063 0.4063 0.5000  0.60
Ru 0.4063 0.0937 0.5000  0.54
Ca 0.3093 0.8093 0.0000  0.02
Ca 0.8093 0.6907 0.0000  0.02
Ca 0.6907 0.1907 0.0000  0.02
Ca 0.1907 0.3093 0.0000  0.02
Ag 0.0000 0.0000 0.0000  0.00
Ag 0.5000 0.5000 0.0000  0.00

(ii)
Ca2AgRu2 | PBE | relaxed

Output
Space-group type: P4/mbm, No. 127

Cell lengths 6.9098, 6.9098, 4.5015 Å; angles 90.00, 90.00, 90.00 degrees
Each line ends with the local moment (μB).
Atoms (fractional coordinates):
Ru 0.3808 0.8808 0.0000  0.43
Ru 0.8808 0.6192 0.0000  0.45
Ru 0.6192 0.1192 0.0000  0.43
Ru 0.1192 0.3808 0.0000  0.45
Ca 0.1782 0.6782 0.5000  0.01
Ca 0.6782 0.8218 0.5000  0.01
Ca 0.8218 0.3218 0.5000  0.01
Ca 0.3218 0.1782 0.5000  0.01
Ag 0.0000 0.0000 0.0000  0.01
Ag 0.5000 0.5000 0.0000  0.01

Stability verdict: (ii), ahead by 330 meV/atom